Density functional theory data (SCAN) for a crystal of CdFeTe relaxed with PBEsol.

Computed properties:
The calculation puts the density at 8.0 Mg/m³. For the total energy, the calculation gives -84.68 eV for the cell shown. The uncorrected formation energy is 0.372 eV per atom. The total magnetic moment comes out at 2.546 μB/cell. As for the density of states at the Fermi level: 1.910 states/eV per cell.

Lattice parameters (Å, degrees): 4.2725 4.2725 3.8778 90.00 90.00 120.00
Space group P3m1 (No. 156)
Symmetry-distinct sites (fractional):
Cd: 0.0000 0.0000 0.0000 x1
Fe: 0.3333 0.6667 0.4867 x1
Te: 0.6667 0.3333 0.5020 x1